1.
Pm2TmRu, optimized geometry, DFT PBE-GGA; formation enthalpy at 0 K = 18.8 kJ/mol of atoms; symmetry = R-3m, No. 166; polymorph energy (0 for the lowest one) = 0.450 eV/atom; DFT total energy = -22.47 eV for the cell shown
1.0
3.5631 0.0000 0.0000
1.7816 3.0857 0.0000
1.7816 1.0286 10.6609
Pm Tm Ru
2 1 1
direct
0.8940 0.8940 0.3179 Pm
0.1060 0.1060 0.6821 Pm
0.0000 0.0000 0.0000 Tm
0.5000 0.5000 0.5000 Ru



2.
Mg2ZrSe, optimized geometry, DFT PBE-GGA; uncorrected formation energy = -462 meV/atom; symmetry = Pm, No. 6; DFT total energy = -17.07 eV for the cell shown
1.0
3.5974 0.0000 0.0000
0.0000 3.5383 -0.0256
0.0000 1.7053 6.9257
Mg Zr Se
2 1 1
direct
0.5000 0.4505 0.2453 Mg
0.0000 0.0734 0.9857 Mg
0.5000 0.7003 0.7144 Zr
0.0000 0.2758 0.5546 Se



3.
Pm5IrS4, optimized geometry, DFT PBE-GGA; uncorrected formation energy = -1729 meV/atom; symmetry = I4/mmm, No. 139; DFT total energy = -66.41 eV for the cell shown
1.0
4.0274 0.0000 -0.5676
-0.0800 4.0266 -0.5676
0.0157 0.0161 14.6840
Ir S Pm
1 4 5
direct
0.0000 0.0000 0.0000 Ir
0.8021 0.8021 0.6042 S
0.3972 0.3972 0.7943 S
0.6028 0.6028 0.2057 S
0.1979 0.1979 0.3958 S
0.5000 0.5000 0.0000 Pm
0.7027 0.7027 0.4054 Pm
0.0982 0.0982 0.1964 Pm
0.2973 0.2973 0.5946 Pm
0.9018 0.9018 0.8036 Pm



4.
CsRb2PdPb, optimized geometry, DFT PBE-GGA; formation enthalpy at 0 K = -3.0 kJ/mol of atoms; symmetry = P4/mmm, No. 123; DFT total energy = -11.84 eV for the cell shown
1.0
-4.3772 1.4321 -4.7926
3.2392 -4.0412 -4.1660
-3.1101 -4.1445 1.6021
Rb Pd Pb Cs
2 1 1 1
direct
0.5000 0.0000 0.0000 Rb
0.0000 0.5000 0.0000 Rb
0.0000 0.0000 0.0000 Pd
0.0000 0.0000 0.5000 Pb
0.5000 0.5000 0.5000 Cs



5.
PrErAl, optimized geometry, DFT PBE-GGA; formation enthalpy at 0 K = -20.9 kJ/mol of atoms; symmetry = I4mm, No. 107; polymorph energy (0 for the lowest one) = 0.001 eV/atom; DFT total energy = -13.74 eV for the cell shown
1.0
-3.0221 -0.2051 1.7497
1.5100 -2.0912 2.3629
2.5304 6.6162 1.6491
Al Er Pr
1 1 1
direct
0.9441 0.9441 0.8882 Al
0.3058 0.3058 0.6116 Er
0.6001 0.6001 0.2001 Pr



6.
TmSc2Cu2Ge2, optimized geometry, DFT PBE-GGA; formation enthalpy at 0 K = -47.2 kJ/mol of atoms; symmetry = R-3m, No. 166; DFT total energy = -37.98 eV for the cell shown
1.0
-1.4179 -1.1429 3.8271
-2.9879 -2.9857 0.3483
4.4832 -7.2809 1.8335
Sc Cu Tm Ge
2 2 1 2
direct
0.8700 0.8700 0.3901 Sc
0.1300 0.1300 0.6099 Sc
0.5916 0.5916 0.2252 Cu
0.4084 0.4084 0.7748 Cu
0.0000 0.0000 0.0000 Tm
0.2579 0.2579 0.2264 Ge
0.7421 0.7421 0.7736 Ge



7.
MgCu2W, optimized geometry, DFT PBE-GGA; formation enthalpy at 0 K = 27.9 kJ/mol of atoms; symmetry = Cmmm, No. 65; DFT total energy = -21.58 eV for the cell shown
1.0
4.7764 0.0069 -0.0453
-1.2211 4.6177 -0.0453
0.0252 0.0327 2.6356
Mg Cu W
1 2 1
direct
0.5000 0.0000 0.5000 Mg
0.5000 0.5000 0.0000 Cu
0.0000 0.0000 0.0000 Cu
0.0000 0.5000 0.5000 W



8.
ScHgPdRu, optimized geometry, DFT PBE-GGA; formation enthalpy at 0 K = -27.1 kJ/mol of atoms; symmetry = F-43m, No. 216; DFT total energy = -22.23 eV for the cell shown
1.0
4.6088 0.0000 0.0000
2.3044 3.9913 0.0000
2.3044 1.3304 3.7631
Sc Pd Hg Ru
1 1 1 1
direct
0.5000 0.5000 0.5000 Sc
0.7500 0.7500 0.7500 Pd
0.0000 0.0000 0.0000 Hg
0.2500 0.2500 0.2500 Ru



9.
NdScPd3, optimized geometry, DFT PBE-GGA; formation enthalpy at 0 K = -78.1 kJ/mol of atoms; symmetry = P2_1/c, No. 14; DFT total energy = -122.89 eV for the cell shown
1.0
5.6248 0.0000 0.0000
0.0000 9.7109 1.5078
0.0000 -1.6193 7.0492
Sc Pd Nd
4 12 4
direct
0.6455 0.0589 0.3252 Sc
0.3545 0.9411 0.6748 Sc
0.1455 0.9411 0.1748 Sc
0.8545 0.0589 0.8252 Sc
0.0607 0.7840 0.8648 Pd
0.6044 0.8695 0.0107 Pd
0.9393 0.2160 0.1352 Pd
0.8956 0.8695 0.5107 Pd
0.1044 0.1305 0.4893 Pd
0.5607 0.2160 0.6352 Pd
0.1464 0.6116 0.5467 Pd
0.6464 0.3884 0.9533 Pd
0.3535 0.6116 0.0467 Pd
0.3956 0.1305 0.9893 Pd
0.4393 0.7840 0.3648 Pd
0.8536 0.3884 0.4533 Pd
0.3678 0.3735 0.3037 Nd
0.1322 0.3735 0.8037 Nd
0.6322 0.6265 0.6963 Nd
0.8678 0.6265 0.1963 Nd



10.
Sm2MgU2Ru5, optimized geometry, DFT PBE-GGA; formation enthalpy at 0 K = -14.4 kJ/mol of atoms; symmetry = P4/mbm, No. 127; DFT total energy = -162.96 eV for the cell shown
1.0
3.2909 0.0000 0.0000
0.0000 10.9463 0.0000
0.0000 0.0000 10.9463
Ru Mg Sm U
10 2 4 4
direct
0.5000 0.5571 0.7039 Ru
0.5000 0.9429 0.2039 Ru
0.5000 0.0000 0.5000 Ru
0.5000 0.7961 0.9429 Ru
0.5000 0.7039 0.4429 Ru
0.5000 0.2039 0.0571 Ru
0.5000 0.5000 0.0000 Ru
0.5000 0.2961 0.5571 Ru
0.5000 0.4429 0.2961 Ru
0.5000 0.0571 0.7961 Ru
0.0000 0.0000 0.0000 Mg
0.0000 0.5000 0.5000 Mg
0.0000 0.1605 0.3395 Sm
0.0000 0.6605 0.1605 Sm
0.0000 0.8395 0.6605 Sm
0.0000 0.3395 0.8395 Sm
0.0000 0.3465 0.1535 U
0.0000 0.1535 0.6535 U
0.0000 0.6535 0.8465 U
0.0000 0.8465 0.3465 U



11.
Mn2MoAu, optimized geometry, DFT PBE-GGA; formation enthalpy at 0 K = 16.0 kJ/mol of atoms; symmetry = I4/mmm, No. 139; polymorph energy (0 for the lowest one) = 0.046 eV/atom; DFT total energy = -31.78 eV for the cell shown
1.0
4.6155 -0.0581 0.0000
1.1687 4.4655 0.0000
-2.8921 -2.2037 2.8436
Mo Mn Au
1 2 1
direct
0.2500 0.7500 0.5000 Mo
0.5000 0.5000 0.0000 Mn
0.0000 0.0000 0.0000 Mn
0.7500 0.2500 0.5000 Au



12.
Nd15DyHo4, optimized geometry, DFT PBE-GGA; formation enthalpy at 0 K = 1.1 kJ/mol of atoms; symmetry = P4/mmm, No. 123; DFT total energy = -94.21 eV for the cell shown
1.0
5.1586 0.0000 0.0000
0.0000 5.1586 0.0000
0.0000 0.0000 25.6632
Nd Ho Dy
15 4 1
direct
0.5000 0.0000 0.8998 Nd
0.0000 0.5000 0.1002 Nd
0.5000 0.5000 0.0000 Nd
0.5000 0.5000 0.7999 Nd
0.5000 0.5000 0.4000 Nd
0.5000 0.0000 0.1002 Nd
0.5000 0.0000 0.5000 Nd
0.5000 0.0000 0.3001 Nd
0.5000 0.0000 0.6999 Nd
0.0000 0.5000 0.5000 Nd
0.5000 0.5000 0.2001 Nd
0.0000 0.5000 0.3001 Nd
0.0000 0.5000 0.6999 Nd
0.5000 0.5000 0.6000 Nd
0.0000 0.5000 0.8998 Nd
0.0000 0.0000 0.4000 Ho
0.0000 0.0000 0.6000 Ho
0.0000 0.0000 0.2001 Ho
0.0000 0.0000 0.7999 Ho
0.0000 0.0000 0.0000 Dy



13.
ZrOs2Pb, optimized geometry, DFT PBE-GGA; formation enthalpy at 0 K = 50.6 kJ/mol of atoms; symmetry = R-3m, No. 166; DFT total energy = -32.62 eV for the cell shown
1.0
9.2940 0.0403 0.0238
8.7563 3.1157 0.0238
8.7563 1.5310 2.7137
Zr Os Pb
1 2 1
direct
0.7500 0.7500 0.7500 Zr
0.0075 0.0075 0.0075 Os
0.4925 0.4925 0.4925 Os
0.2500 0.2500 0.2500 Pb



14.
LiAl2Au6, optimized geometry, DFT PBE-GGA; formation enthalpy at 0 K = -35.5 kJ/mol of atoms; symmetry = Fmmm, No. 69; polymorph energy (0 for the lowest one) = 0.000 eV/atom; DFT total energy = -32.38 eV for the cell shown
1.0
4.3366 0.0000 1.4438
2.1686 4.7417 0.7210
-0.0130 0.0016 7.2718
Au Li Al
6 1 2
direct
0.3456 0.8089 0.5000 Au
0.6811 0.8015 0.8363 Au
0.3189 0.1985 0.1637 Au
0.6544 0.1911 0.5000 Au
0.0174 0.8014 0.1637 Au
0.9826 0.1986 0.8363 Au
0.0000 0.5000 0.5000 Li
0.6601 0.5000 0.1798 Al
0.3399 0.5000 0.8202 Al



15.
HfH2IrI, optimized geometry, DFT PBE-GGA; symmetry = P4/mmm, No. 123; DFT total energy = -26.20 eV for the cell shown
1.0
3.9396 0.0000 0.0000
0.0000 5.2280 0.0000
0.0000 0.0000 3.9396
H I Ir Hf
2 1 1 1
direct
0.5000 0.0000 0.0000 H
0.0000 0.0000 0.5000 H
0.5000 0.5000 0.5000 I
0.0000 0.5000 0.0000 Ir
0.0000 0.0000 0.0000 Hf



16.
Sm4ThAg5, optimized geometry, DFT PBE-GGA; formation enthalpy at 0 K = -22.0 kJ/mol of atoms; symmetry = P4/mmm, No. 123; DFT total energy = -42.83 eV for the cell shown
1.0
3.6812 0.0000 0.0000
0.0000 3.6812 0.0000
0.0000 0.0000 18.9379
Sm Ag Th
4 5 1
direct
0.0000 0.0000 0.2024 Sm
0.0000 0.0000 0.5997 Sm
0.0000 0.0000 0.7976 Sm
0.0000 0.0000 0.4003 Sm
0.5000 0.5000 0.1054 Ag
0.5000 0.5000 0.5000 Ag
0.5000 0.5000 0.6985 Ag
0.5000 0.5000 0.8946 Ag
0.5000 0.5000 0.3015 Ag
0.0000 0.0000 0.0000 Th



17.
Zr2FeCo, optimized geometry, DFT PBE-GGA; formation enthalpy at 0 K = -6.8 kJ/mol of atoms; symmetry = Imm2, No. 44; polymorph energy (0 for the lowest one) = 0.169 eV/atom; DFT total energy = -32.95 eV for the cell shown
1.0
5.6981 0.1679 0.1465
3.1482 4.7524 -0.1465
-4.1286 -2.9896 2.5562
Zr Co Fe
2 1 1
direct
0.9877 0.9877 0.0000 Zr
0.2618 0.7618 0.5000 Zr
0.5337 0.5337 0.0000 Co
0.7168 0.2168 0.5000 Fe



18.
HoPaI6, optimized geometry, DFT PBE-GGA; uncorrected formation energy = -1054 meV/atom; symmetry = C2/m, No. 12; DFT total energy = -31.81 eV for the cell shown
1.0
-6.5997 -3.5740 -0.1942
2.8754 -3.0437 7.1365
-2.7041 7.7160 -1.2699
I Ho Pa
6 1 1
direct
0.2435 0.0961 0.3930 I
0.7565 0.6070 0.9039 I
0.7565 0.9039 0.6070 I
0.2435 0.3930 0.0961 I
0.2477 0.7526 0.7526 I
0.7523 0.2474 0.2474 I
0.0000 0.0000 0.0000 Ho
0.5000 0.5000 0.5000 Pa



19.
YOs3Pd, optimized geometry, DFT PBE-GGA; formation enthalpy at 0 K = 291.4 kJ/mol of atoms; symmetry = Pm-3m, No. 221; polymorph energy (0 for the lowest one) = 1.192 eV/atom; DFT total energy = -30.25 eV for the cell shown
1.0
4.8261 0.0000 0.0000
0.0000 4.8261 0.0000
0.0000 0.0000 4.8261
Os Pd Y
3 1 1
direct
0.0000 0.5000 0.0000 Os
0.0000 0.0000 0.5000 Os
0.5000 0.0000 0.0000 Os
0.5000 0.5000 0.5000 Pd
0.0000 0.0000 0.0000 Y



20.
LiCu2As, optimized geometry, DFT PBE-GGA; formation enthalpy at 0 K = 2.1 kJ/mol of atoms; symmetry = I-42d, No. 122; DFT total energy = -29.34 eV for the cell shown
1.0
-0.4586 3.7630 0.1517
-3.7310 -0.4332 -0.5342
-3.2229 1.1946 8.0685
Li Cu As
2 4 2
direct
0.5000 0.5000 0.0000 Li
0.2500 0.7500 0.5000 Li
0.8750 0.8993 0.7500 Cu
0.1007 0.6250 0.2500 Cu
0.6493 0.1250 0.2500 Cu
0.3750 0.3507 0.7500 Cu
0.7500 0.2500 0.5000 As
0.0000 0.0000 0.0000 As



21.
CeTh2C, optimized geometry, DFT PBE-GGA; formation enthalpy at 0 K = 27.6 kJ/mol of atoms; symmetry = P4/mmm, No. 123; polymorph energy (0 for the lowest one) = 0.282 eV/atom; DFT total energy = -28.85 eV for the cell shown
1.0
3.3107 0.0000 0.0000
0.0000 3.3107 0.0000
0.0000 0.0000 8.5250
C Th Ce
1 2 1
direct
0.5000 0.5000 0.0000 C
0.0000 0.0000 0.8247 Th
0.0000 0.0000 0.1753 Th
0.5000 0.5000 0.5000 Ce



22.
CeYMgIn, optimized geometry, DFT PBE-GGA; formation enthalpy at 0 K = -23.6 kJ/mol of atoms; symmetry = F-43m, No. 216; DFT total energy = -17.71 eV for the cell shown
1.0
-0.5591 2.5366 -4.7174
-0.2662 -2.8386 -4.5687
-4.6484 -0.3280 -2.6993
Mg Y Ce In
1 1 1 1
direct
0.7500 0.7500 0.7500 Mg
0.0000 0.0000 0.0000 Y
0.5000 0.5000 0.5000 Ce
0.2500 0.2500 0.2500 In



23.
Ce4YPa3N8, optimized geometry, DFT PBE-GGA; uncorrected formation energy = -1614 meV/atom; symmetry = R-3m, No. 166; DFT total energy = -151.11 eV for the cell shown
1.0
7.0579 0.0000 0.0000
0.0000 7.0802 0.0108
-3.5290 -3.5254 4.9936
Pa Ce N Y
3 4 8 1
direct
0.5000 0.5000 0.0000 Pa
0.0000 0.5000 0.5000 Pa
0.5000 0.5000 0.5000 Pa
0.5000 0.0000 0.5000 Ce
0.0000 0.0000 0.0000 Ce
0.5000 0.0000 0.0000 Ce
0.0000 0.0000 0.5000 Ce
0.2658 0.2727 0.0192 N
0.2583 0.2748 0.5165 N
0.7534 0.2727 0.0192 N
0.7534 0.2727 0.5069 N
0.7342 0.7273 0.9808 N
0.2466 0.7273 0.4931 N
0.7417 0.7252 0.4835 N
0.2466 0.7273 0.9808 N
0.0000 0.5000 0.0000 Y



24.
DyRe2N4, optimized geometry, DFT PBE-GGA; uncorrected formation energy = -170 meV/atom; symmetry = I4/m, No. 87; polymorph energy (0 for the lowest one) = 0.256 eV/atom; DFT total energy = -63.99 eV for the cell shown
1.0
5.4076 -0.0663 0.0000
-2.6617 4.7076 0.0000
-1.3729 -2.3207 4.6878
Dy N Re
1 4 2
direct
0.5000 0.5000 0.0000 Dy
0.8268 0.3796 0.2063 N
0.1732 0.6204 0.7937 N
0.6204 0.8268 0.4472 N
0.3796 0.1732 0.5528 N
0.2500 0.7500 0.5000 Re
0.7500 0.2500 0.5000 Re



25.
CaScHgI6, optimized geometry, DFT PBE-GGA; uncorrected formation energy = -1049 meV/atom; symmetry = P1, No. 1; DFT total energy = -27.38 eV for the cell shown
1.0
7.7236 -0.0015 -0.0369
3.8608 6.6972 -0.0198
0.0610 -0.0044 7.2142
Ca I Hg Sc
1 6 1 1
direct
0.6667 0.6665 0.5000 Ca
0.3469 0.6322 0.2635 I
0.0221 0.3457 0.2641 I
0.3455 0.0216 0.7361 I
0.0206 0.6326 0.7364 I
0.6318 0.3462 0.7360 I
0.6330 0.0213 0.2638 I
0.0000 0.0001 0.0000 Hg
0.3332 0.3338 0.5000 Sc